Below is a relaxed structure of LiTi3Cr, with properties calculated at the GGA-PBE level.

Output
N(E_F)	8.4	states/eV per cell
energy of formation	1196	meV per atom
excess energy over the best structure of this formula in the dataset	583	meV per atom

Cell: 4.298 4.298 4.298 Å, 90.00 90.00 90.00°
Space group Pm-3m (No. 221)
Unique sites:
Li 0.000 0.000 0.000 (multiplicity 1)
Ti 0.000 0.000 0.500 (multiplicity 3)
Cr 0.500 0.500 0.500 (multiplicity 1)